Here is BeOs2Pt after structural relaxation from Alexandria. Energies are from PBE.

Structure (CIF):
```
data_BeOs2Pt
_chemical_formula_sum 'Be2 Os4 Pt2'
_symmetry_space_group_name_H-M 'C m m m'
_symmetry_Int_Tables_number 65
_symmetry_space_group_name_Hall '-C 2 2'
_cell_length_a 2.732
_cell_length_b 4.626
_cell_length_c 8.699
_cell_angle_alpha 90.00
_cell_angle_beta 90.00
_cell_angle_gamma 90.00
loop_
_atom_site_label
_atom_site_type_symbol
_atom_site_fract_x
_atom_site_fract_y
_atom_site_fract_z
Be1 Be 0.000 0.000 0.000
Os1 Os 0.000 0.500 0.221
Pt1 Pt 0.000 0.000 0.500
```

E, eV/cell: -61.9

Here is CdPW2 after structural relaxation from Alexandria. Energies are from PBE.

Structure (CIF):
```
data_CdPW2
_chemical_formula_sum 'Cd1 P1 W2'
_symmetry_space_group_name_H-M 'P 4/m m m'
_symmetry_Int_Tables_number 123
_symmetry_space_group_name_Hall '-P 4 2'
_cell_length_a 2.999
_cell_length_b 2.999
_cell_length_c 7.187
_cell_angle_alpha 90.00
_cell_angle_beta 90.00
_cell_angle_gamma 90.00
loop_
_atom_site_label
_atom_site_type_symbol
_atom_site_fract_x
_atom_site_fract_y
_atom_site_fract_z
Cd1 Cd 0.000 0.000 0.000
P1 P 0.000 0.000 0.500
W1 W 0.500 0.500 0.309
```

Distance to the lowest polymorph of the same formula, meV per atom: 2.5
E, eV/cell: -31.2

Here is LiPmAg3 after structural relaxation from Alexandria. Energies are from PBE.

Structure (CIF):
```
data_LiPmAg3
_chemical_formula_sum 'Li4 Pm4 Ag12'
_symmetry_space_group_name_H-M 'P 1 21/c 1'
_symmetry_Int_Tables_number 14
_symmetry_space_group_name_Hall '-P 2ybc'
_cell_length_a 9.977
_cell_length_b 5.548
_cell_length_c 7.634
_cell_angle_alpha 90.00
_cell_angle_beta 95.71
_cell_angle_gamma 90.00
loop_
_atom_site_label
_atom_site_type_symbol
_atom_site_fract_x
_atom_site_fract_y
_atom_site_fract_z
Li1 Li 0.043 0.120 0.335
Pm1 Pm 0.360 0.642 0.794
Ag1 Ag 0.128 0.603 0.482
Ag2 Ag 0.208 0.095 0.636
Ag3 Ag 0.391 0.150 0.951
```

Distance to the lowest polymorph of the same formula, meV per atom: 0.0
E, eV/cell: -65.0

Here is ThCuP2Rh5 after structural relaxation from Alexandria. Energies are from PBE.

Structure (CIF):
```
data_ThCuP2Rh5
_chemical_formula_sum 'Th1 Cu1 P2 Rh5'
_symmetry_space_group_name_H-M 'P 4/m m m'
_symmetry_Int_Tables_number 123
_symmetry_space_group_name_Hall '-P 4 2'
_cell_length_a 4.073
_cell_length_b 4.073
_cell_length_c 9.527
_cell_angle_alpha 90.00
_cell_angle_beta 90.00
_cell_angle_gamma 90.00
loop_
_atom_site_label
_atom_site_type_symbol
_atom_site_fract_x
_atom_site_fract_y
_atom_site_fract_z
Th1 Th 0.000 0.000 0.000
Cu1 Cu 0.000 0.000 0.500
P1 P 0.500 0.500 0.239
Rh1 Rh 0.000 0.500 0.342
Rh2 Rh 0.500 0.500 0.000
```

E, eV/cell: -63.7